Sn3MoI | PBE-GGA | optimized geometry

Results
Final energy, eV/atom: -4.73
M_tot, μB per cell: 0.00
SG: No. 221

```
Sn3MoI
1.0
5.338 0.000 0.000
0.000 5.338 0.000
0.000 0.000 5.338
Sn Mo I
3 1 1
direct
0.000 0.000 0.500
0.000 0.500 0.000
0.500 0.000 0.000
0.000 0.000 0.000
0.500 0.500 0.500
```

---

SnMoI2 | PBE-GGA | optimized geometry

Results
Final energy, eV/atom: -3.61
M_tot, μB per cell: 6.54
SG: No. 225

```
SnMoI2
1.0
7.403 0.000 0.000
0.000 7.403 0.000
0.000 0.000 7.403
Sn Mo I
4 4 8
direct
0.000 0.000 0.000
0.000 0.500 0.500
0.500 0.000 0.500
0.500 0.500 0.000
0.000 0.000 0.500
0.000 0.500 0.000
0.500 0.000 0.000
0.500 0.500 0.500
0.250 0.250 0.250
0.250 0.250 0.750
0.250 0.750 0.250
0.250 0.750 0.750
0.750 0.250 0.250
0.750 0.250 0.750
0.750 0.750 0.250
0.750 0.750 0.750
```

---

SnMoI3 | PBE-GGA | optimized geometry

Results
Final energy, eV/atom: -3.18
M_tot, μB per cell: 5.04
SG: No. 221

```
SnMoI3
1.0
6.090 0.000 0.000
0.000 6.090 0.000
0.000 0.000 6.090
Sn Mo I
1 1 3
direct
0.000 0.000 0.000
0.500 0.500 0.500
0.000 0.000 0.500
0.000 0.500 0.000
0.500 0.000 0.000
```

---

SnMo2I | PBE-GGA | optimized geometry

Results
Final energy, eV/atom: -5.32
M_tot, μB per cell: 12.18
SG: No. 122

```
SnMo2I
1.0
6.393 0.000 0.000
0.000 6.393 0.000
0.000 0.000 11.373
Sn Mo I
4 8 4
direct
0.000 0.000 0.000
0.000 0.500 0.250
0.500 0.000 0.750
0.500 0.500 0.500
0.245 0.250 0.625
0.250 0.745 0.875
0.250 0.755 0.375
0.255 0.250 0.125
0.745 0.750 0.125
0.750 0.245 0.375
0.750 0.255 0.875
0.755 0.750 0.625
0.000 0.000 0.500
0.000 0.500 0.750
0.500 0.000 0.250
0.500 0.500 0.000
```

---

SnMo2I | PBE-GGA | optimized geometry

Results
Final energy, eV/atom: -6.02
M_tot, μB per cell: 0.00
SG: No. 225

```
SnMo2I
1.0
6.691 0.000 0.000
0.000 6.691 0.000
0.000 0.000 6.691
Sn Mo I
4 8 4
direct
0.000 0.000 0.000
0.000 0.500 0.500
0.500 0.000 0.500
0.500 0.500 0.000
0.250 0.250 0.250
0.250 0.250 0.750
0.250 0.750 0.250
0.250 0.750 0.750
0.750 0.250 0.250
0.750 0.250 0.750
0.750 0.750 0.250
0.750 0.750 0.750
0.000 0.000 0.500
0.000 0.500 0.000
0.500 0.000 0.000
0.500 0.500 0.500
```

---

SnMo3I | PBE-GGA | optimized geometry

Results
Final energy, eV/atom: -5.67
M_tot, μB per cell: 1.16
SG: No. 221

```
SnMo3I
1.0
4.896 0.000 0.000
0.000 4.896 0.000
0.000 0.000 4.896
Sn Mo I
1 3 1
direct
0.000 0.000 0.000
0.000 0.500 0.500
0.500 0.000 0.500
0.500 0.500 0.000
0.500 0.500 0.500
```

---

SnMoI3 | PBE-GGA | optimized geometry

Results
Final energy, eV/atom: -3.48
M_tot, μB per cell: 4.99
SG: No. 221

```
SnMoI3
1.0
5.700 0.000 0.000
0.000 5.700 0.000
0.000 0.000 5.700
Sn Mo I
1 1 3
direct
0.000 0.000 0.000
0.500 0.500 0.500
0.000 0.500 0.500
0.500 0.000 0.500
0.500 0.500 0.000
```

---

Sn3MoI | PBE-GGA | optimized geometry

Results
Final energy, eV/atom: -3.29
M_tot, μB per cell: 4.91
SG: No. 221

```
Sn3MoI
1.0
5.789 0.000 0.000
0.000 5.789 0.000
0.000 0.000 5.789
Sn Mo I
3 1 1
direct
0.000 0.000 0.500
0.000 0.500 0.000
0.500 0.000 0.000
0.500 0.500 0.500
0.000 0.000 0.000
```

---

SnMoI2 | PBE-GGA | optimized geometry

Results
Final energy, eV/atom: -4.12
M_tot, μB per cell: 7.66
SG: No. 122

```
SnMoI2
1.0
10.014 0.000 0.000
0.000 10.014 0.000
0.000 0.000 5.412
Sn Mo I
4 4 8
direct
0.000 0.000 0.000
0.000 0.500 0.250
0.500 0.000 0.750
0.500 0.500 0.500
0.000 0.000 0.500
0.000 0.500 0.750
0.500 0.000 0.250
0.500 0.500 0.000
0.109 0.750 0.625
0.250 0.109 0.375
0.250 0.391 0.875
0.391 0.750 0.125
0.609 0.250 0.125
0.750 0.609 0.875
0.750 0.891 0.375
0.891 0.250 0.625
```

---

SrSnMoI2 | PBE-GGA | optimized geometry

Results
Final energy, eV/atom: -3.14
M_tot, μB per cell: 5.84
SG: No. 123

```
SrSnMoI2
1.0
6.146 0.000 0.000
0.000 6.146 0.000
0.000 0.000 6.485
Sr Sn Mo I
1 1 1 2
direct
0.000 0.000 0.000
0.000 0.000 0.500
0.500 0.500 0.000
0.000 0.500 0.500
0.500 0.000 0.500
```

---

TcSnMoI2 | PBE-GGA | optimized geometry

Results
Final energy, eV/atom: -4.28
M_tot, μB per cell: 6.97
SG: No. 123

```
TcSnMoI2
1.0
5.481 0.000 0.000
0.000 5.481 0.000
0.000 0.000 5.489
Tc Sn Mo I
1 1 1 2
direct
0.000 0.000 0.000
0.500 0.500 0.000
0.500 0.500 0.500
0.000 0.500 0.500
0.500 0.000 0.500
```

---

SnTeMoI2 | PBE-GGA | optimized geometry

Results
Final energy, eV/atom: -3.31
M_tot, μB per cell: 4.55
SG: No. 123

```
SnTeMoI2
1.0
5.910 0.000 0.000
0.000 5.910 0.000
0.000 0.000 5.885
Sn Te Mo I
1 1 1 2
direct
0.000 0.000 0.000
0.000 0.000 0.500
0.500 0.500 0.500
0.000 0.500 0.000
0.500 0.000 0.000
```